Density functional theory data (PBE-GGA) for an optimized crystal structure of Sm2CdPb3.

energy relative to the elements	-10.176	kcal/mol of atoms
N(E_F)	3.27	states/eV per cell
volume	169.9	Å³ per cell

POSCAR file:
```
Sm2CdPb3
1.0
4.3566 0.0000 -1.3782
0.0000 4.7574 0.0000
0.1787 0.0000 8.1401
Pb Sm Cd
3 2 1
direct
0.6730 0.0000 0.3460
0.5000 0.5000 0.0000
0.3270 0.0000 0.6540
0.8492 0.5000 0.6985
0.1508 0.5000 0.3015
0.0000 0.0000 0.0000
```